The following is a DFT calculation (PBE-GGA) of a relaxed structure of VGaSb3.

POSCAR file:
```
VGaSb3
1.0
5.154 0.000 0.000
0.000 5.154 0.000
0.000 0.000 5.154
V Ga Sb
1 1 3
direct
0.000 0.000 0.000
0.500 0.500 0.500
0.000 0.000 0.500
0.000 0.500 0.000
0.500 0.000 0.000
```

Output
Total magnetization   0.0 μB per cell
E_form (uncorrected)   1.54 eV/f.u.
Density of states at the Fermi level   3.7 states/eV/cell
SG   Pm-3m
ΔE to the lowest computed polymorph   0.00 kJ per mole of atoms
Energy   -22.97 eV/f.u.

***

The following is a DFT calculation (PBE-GGA) of a relaxed structure of NaTmCdAg.

POSCAR file:
```
NaTmCdAg
1.0
7.222 0.000 0.000
0.000 7.222 0.000
0.000 0.000 7.222
Na Tm Cd Ag
4 4 4 4
direct
0.000 0.000 0.000
0.000 0.500 0.500
0.500 0.000 0.500
0.500 0.500 0.000
0.000 0.000 0.500
0.000 0.500 0.000
0.500 0.000 0.000
0.500 0.500 0.500
0.250 0.250 0.750
0.250 0.750 0.250
0.750 0.250 0.250
0.750 0.750 0.750
0.250 0.250 0.250
0.250 0.750 0.750
0.750 0.250 0.750
0.750 0.750 0.250
```

Output
Formation enthalpy at 0 K   -0.076 eV/atom
Total magnetization   0.0 μB per cell
Density of states at the Fermi level   15.2 states/eV/cell
SG   F-43m
Energy   -9.86 eV/f.u.

***

The following is a DFT calculation (PBE-GGA) of a relaxed structure of CrGe3Cl.

POSCAR file:
```
CrGe3Cl
1.0
4.687 0.000 0.000
0.000 4.687 0.000
0.000 0.000 4.687
Cr Ge Cl
1 3 1
direct
0.000 0.000 0.000
0.000 0.000 0.500
0.000 0.500 0.000
0.500 0.000 0.000
0.500 0.500 0.500
```

Output
Total magnetization   0.0 μB per cell
E_form (uncorrected)   0.19 eV/f.u.
Density of states at the Fermi level   3.1 states/eV/cell
SG   Pm-3m
ΔE to the lowest computed polymorph   0.00 kJ per mole of atoms
Energy   -25.13 eV/f.u.

***

The following is a DFT calculation (PBE-GGA) of a relaxed structure of Zn2In2Sb.

POSCAR file:
```
Zn2In2Sb
1.0
8.345 0.000 0.000
0.000 8.345 0.000
0.000 0.000 3.339
Zn In Sb
4 4 2
direct
0.157 0.343 0.000
0.343 0.843 0.000
0.657 0.157 0.000
0.843 0.657 0.000
0.143 0.643 0.500
0.357 0.143 0.500
0.643 0.857 0.500
0.857 0.357 0.500
0.000 0.000 0.500
0.500 0.500 0.500
```

Output
Total magnetization   0.0 μB per cell
E_form (uncorrected)   0.85 eV/f.u.
Density of states at the Fermi level   4.4 states/eV/cell
SG   P4/mbm
ΔE to the lowest computed polymorph   8.25 kJ per mole of atoms
Energy   -11.30 eV/f.u.

***

The following is a DFT calculation (PBE-GGA) of a relaxed structure of GdCdSnPb.

POSCAR file:
```
GdCdSnPb
1.0
7.659 0.000 0.000
0.000 7.659 0.000
0.000 0.000 7.659
Gd Cd Sn Pb
4 4 4 4
direct
0.000 0.000 0.000
0.000 0.500 0.500
0.500 0.000 0.500
0.500 0.500 0.000
0.250 0.250 0.250
0.250 0.750 0.750
0.750 0.250 0.750
0.750 0.750 0.250
0.250 0.250 0.750
0.250 0.750 0.250
0.750 0.250 0.250
0.750 0.750 0.750
0.000 0.000 0.500
0.000 0.500 0.000
0.500 0.000 0.000
0.500 0.500 0.500
```

Output
Formation enthalpy at 0 K   -0.214 eV/atom
Total magnetization   28.6 μB per cell
Density of states at the Fermi level   15.3 states/eV/cell
SG   F-43m
Energy   -23.56 eV/f.u.

***

The following is a DFT calculation (PBE-GGA) of a relaxed structure of KTaP2N6.

POSCAR file:
```
KTaP2N6
1.0
4.618 -5.264 0.000
4.618 5.264 0.000
-0.557 0.000 4.822
K Ta P N
2 2 4 12
direct
0.076 0.924 0.750
0.924 0.076 0.250
0.274 0.726 0.250
0.726 0.274 0.750
0.225 0.385 0.700
0.385 0.225 0.200
0.615 0.775 0.800
0.775 0.615 0.300
0.002 0.303 0.731
0.259 0.617 0.828
0.269 0.387 0.368
0.303 0.002 0.231
0.383 0.741 0.672
0.387 0.269 0.868
0.613 0.731 0.132
0.617 0.259 0.328
0.697 0.998 0.769
0.731 0.613 0.632
0.741 0.383 0.172
0.998 0.697 0.269
```

Output
Total magnetization   0.0 μB per cell
E_form (uncorrected)   -4.43 eV/f.u.
SG   C2/c
Energy   -78.15 eV/f.u.

***

The following is a DFT calculation (PBE-GGA) of a relaxed structure of VAgAu2.

POSCAR file:
```
VAgAu2
1.0
2.811 0.000 0.000
-1.406 2.435 0.000
0.000 0.000 31.017
V Ag Au
3 3 6
direct
0.000 0.000 0.000
0.333 0.667 0.667
0.667 0.333 0.333
0.000 0.000 0.500
0.333 0.667 0.167
0.667 0.333 0.833
0.000 0.000 0.083
0.000 0.000 0.917
0.333 0.667 0.583
0.333 0.667 0.750
0.667 0.333 0.250
0.667 0.333 0.417
```

Output
Formation enthalpy at 0 K   0.332 eV/atom
Total magnetization   0.0 μB per cell
Density of states at the Fermi level   6.0 states/eV/cell
SG   R-3m
Energy   -17.20 eV/f.u.

***

The following is a DFT calculation (PBE-GGA) of a relaxed structure of Pa2IrPb.

POSCAR file:
```
Pa2IrPb
1.0
4.027 0.000 0.000
-2.014 3.488 0.000
0.000 0.000 23.031
Pa Ir Pb
6 3 3
direct
0.000 0.000 0.234
0.000 0.000 0.766
0.333 0.667 0.432
0.333 0.667 0.901
0.667 0.333 0.099
0.667 0.333 0.568
0.000 0.000 0.500
0.333 0.667 0.167
0.667 0.333 0.833
0.000 0.000 0.000
0.333 0.667 0.667
0.667 0.333 0.333
```

Output
Formation enthalpy at 0 K   -0.312 eV/atom
Total magnetization   0.0 μB per cell
Density of states at the Fermi level   20.9 states/eV/cell
SG   R-3m
ΔE to the lowest computed polymorph   4.80 kJ per mole of atoms
Energy   -32.81 eV/f.u.

***

The following is a DFT calculation (PBE-GGA) of a relaxed structure of Cs6TaBi4.

POSCAR file:
```
Cs6TaBi4
1.0
11.998 0.000 0.000
-5.999 10.391 0.000
0.000 0.000 9.685
Cs Ta Bi
12 2 8
direct
0.063 0.532 0.000
0.144 0.289 0.317
0.144 0.856 0.317
0.289 0.144 0.817
0.468 0.532 0.000
0.468 0.937 0.000
0.532 0.063 0.500
0.532 0.468 0.500
0.711 0.856 0.317
0.856 0.144 0.817
0.856 0.711 0.817
0.937 0.468 0.500
0.333 0.667 0.607
0.667 0.333 0.107
0.206 0.412 0.698
0.206 0.794 0.698
0.333 0.667 0.321
0.412 0.206 0.198
0.588 0.794 0.698
0.667 0.333 0.821
0.794 0.206 0.198
0.794 0.588 0.198
```

Output
Formation enthalpy at 0 K   -0.252 eV/atom
Total magnetization   1.4 μB per cell
Density of states at the Fermi level   28.6 states/eV/cell
SG   P6_3mc
Energy   -35.27 eV/f.u.

***

The following is a DFT calculation (PBE-GGA) of a relaxed structure of AlAu2Se.

POSCAR file:
```
AlAu2Se
1.0
3.414 0.000 0.000
0.000 3.980 0.000
0.000 0.000 11.327
Al Au Se
2 4 2
direct
0.000 0.000 0.000
0.500 0.500 0.500
0.000 0.500 0.307
0.000 0.500 0.693
0.500 0.000 0.193
0.500 0.000 0.807
0.000 0.000 0.500
0.500 0.500 0.000
```

Output
Total magnetization   0.0 μB per cell
E_form (uncorrected)   -0.14 eV/f.u.
Density of states at the Fermi level   3.5 states/eV/cell
SG   Immm
Energy   -13.92 eV/f.u.

***

The following is a DFT calculation (PBE-GGA) of a relaxed structure of NbGaNiGe2.

POSCAR file:
```
NbGaNiGe2
1.0
4.655 0.000 0.000
0.000 4.655 0.000
0.000 0.000 4.890
Nb Ga Ni Ge
1 1 1 2
direct
0.000 0.000 0.000
0.000 0.000 0.500
0.500 0.500 0.000
0.000 0.500 0.500
0.500 0.000 0.500
```

Output
Formation enthalpy at 0 K   1.249 eV/atom
Total magnetization   0.0 μB per cell
Density of states at the Fermi level   6.5 states/eV/cell
SG   P4/mmm
Energy   -21.87 eV/f.u.

***

The following is a DFT calculation (PBE-GGA) of a relaxed structure of Tm3MgAl8.

POSCAR file:
```
Tm3MgAl8
1.0
5.515 0.000 0.000
-2.758 4.777 0.000
0.000 0.000 8.867
Tm Mg Al
3 1 8
direct
0.000 0.000 0.000
0.000 0.000 0.369
0.333 0.667 0.864
0.333 0.667 0.490
0.008 0.504 0.180
0.323 0.161 0.680
0.496 0.504 0.180
0.496 0.992 0.180
0.667 0.333 0.432
0.667 0.333 0.928
0.839 0.161 0.680
0.839 0.677 0.680
```

Output
Formation enthalpy at 0 K   -0.375 eV/atom
Total magnetization   0.0 μB per cell
Density of states at the Fermi level   4.6 states/eV/cell
SG   P3m1
Energy   -49.45 eV/f.u.

***

The following is a DFT calculation (PBE-GGA) of a relaxed structure of HoMgPd2.

POSCAR file:
```
HoMgPd2
1.0
3.363 0.000 0.000
0.000 3.363 0.000
0.000 0.000 6.640
Ho Mg Pd
1 1 2
direct
0.000 0.000 0.000
0.000 0.000 0.500
0.500 0.500 0.270
0.500 0.500 0.730
```

Output
Formation enthalpy at 0 K   -0.813 eV/atom
Total magnetization   0.0 μB per cell
Density of states at the Fermi level   1.0 states/eV/cell
SG   P4/mmm
Energy   -19.81 eV/f.u.

***

The following is a DFT calculation (PBE-GGA) of a relaxed structure of TlCu2MoIr.

POSCAR file:
```
TlCu2MoIr
1.0
4.603 0.000 0.000
0.000 4.603 0.000
0.000 0.000 5.038
Tl Cu Mo Ir
1 2 1 1
direct
0.000 0.000 0.000
0.000 0.500 0.500
0.500 0.000 0.500
0.500 0.500 0.000
0.000 0.000 0.500
```

Output
Formation enthalpy at 0 K   1.641 eV/atom
Total magnetization   0.0 μB per cell
Density of states at the Fermi level   11.9 states/eV/cell
SG   P4/mmm
Energy   -22.04 eV/f.u.

***

The following is a DFT calculation (PBE-GGA) of a relaxed structure of PmReMo.

POSCAR file:
```
PmReMo
1.0
6.178 0.000 0.000
0.000 6.184 0.000
-0.278 0.000 7.170
Pm Re Mo
4 4 4
direct
0.242 0.000 0.169
0.258 0.500 0.831
0.742 0.500 0.169
0.758 0.000 0.831
0.000 0.249 0.500
0.000 0.751 0.500
0.500 0.251 0.500
0.500 0.749 0.500
0.243 0.500 0.315
0.257 0.000 0.685
0.743 0.000 0.315
0.757 0.500 0.685
```

Output
Formation enthalpy at 0 K   0.243 eV/atom
Total magnetization   0.0 μB per cell
Density of states at the Fermi level   17.5 states/eV/cell
SG   C2/m
ΔE to the lowest computed polymorph   17.06 kJ per mole of atoms
Energy   -27.30 eV/f.u.

***

The following is a DFT calculation (PBE-GGA) of a relaxed structure of La3Dy3YS8.

POSCAR file:
```
La3Dy3YS8
1.0
3.978 2.297 6.687
-3.978 2.297 6.687
0.000 -4.594 6.687
La Dy Y S
3 3 1 8
direct
0.000 0.500 0.500
0.500 0.000 0.500
0.500 0.500 0.000
0.000 0.000 0.500
0.000 0.500 0.000
0.500 0.000 0.000
0.500 0.500 0.500
0.242 0.745 0.745
0.243 0.243 0.243
0.255 0.255 0.758
0.255 0.758 0.255
0.745 0.242 0.745
0.745 0.745 0.242
0.757 0.757 0.757
0.758 0.255 0.255
```

Output
Total magnetization   0.0 μB per cell
E_form (uncorrected)   -31.62 eV/f.u.
Density of states at the Fermi level   7.6 states/eV/cell
SG   R-3m
Energy   -99.70 eV/f.u.

***

The following is a DFT calculation (PBE-GGA) of a relaxed structure of La7Nd12Ho.

POSCAR file:
```
La7Nd12Ho
1.0
-5.750 5.750 5.750
5.750 -5.750 5.750
5.750 5.750 -5.750
La Nd Ho
7 12 1
direct
0.000 0.000 0.500
0.000 0.500 0.000
0.000 0.500 0.500
0.500 0.000 0.000
0.500 0.000 0.500
0.500 0.500 0.000
0.500 0.500 0.500
0.061 0.274 0.788
0.212 0.486 0.274
0.212 0.939 0.726
0.274 0.212 0.486
0.274 0.788 0.061
0.486 0.274 0.212
0.514 0.726 0.788
0.726 0.212 0.939
0.726 0.788 0.514
0.788 0.061 0.274
0.788 0.514 0.726
0.939 0.726 0.212
0.000 0.000 0.000
```

Output
Formation enthalpy at 0 K   0.564 eV/atom
Total magnetization   0.0 μB per cell
Density of states at the Fermi level   33.4 states/eV/cell
SG   Im-3
ΔE to the lowest computed polymorph   36.92 kJ per mole of atoms
Energy   -85.00 eV/f.u.

***

The following is a DFT calculation (PBE-GGA) of a relaxed structure of NaLuCdAg.

POSCAR file:
```
NaLuCdAg
1.0
7.195 0.000 0.000
0.000 7.195 0.000
0.000 0.000 7.195
Na Lu Cd Ag
4 4 4 4
direct
0.000 0.000 0.000
0.000 0.500 0.500
0.500 0.000 0.500
0.500 0.500 0.000
0.000 0.000 0.500
0.000 0.500 0.000
0.500 0.000 0.000
0.500 0.500 0.500
0.250 0.250 0.250
0.250 0.750 0.750
0.750 0.250 0.750
0.750 0.750 0.250
0.250 0.250 0.750
0.250 0.750 0.250
0.750 0.250 0.250
0.750 0.750 0.750
```

Output
Formation enthalpy at 0 K   -0.062 eV/atom
Total magnetization   0.0 μB per cell
Density of states at the Fermi level   16.3 states/eV/cell
SG   F-43m
Energy   -9.85 eV/f.u.

***

The following is a DFT calculation (PBE-GGA) of a relaxed structure of CsTaWS2.

POSCAR file:
```
CsTaWS2
1.0
5.103 0.000 0.000
0.000 5.103 0.000
0.000 0.000 5.669
Cs Ta W S
1 1 1 2
direct
0.000 0.000 0.000
0.500 0.500 0.500
0.000 0.000 0.500
0.000 0.500 0.000
0.500 0.000 0.000
```

Output
Total magnetization   1.4 μB per cell
E_form (uncorrected)   15.39 eV/f.u.
Density of states at the Fermi level   6.5 states/eV/cell
SG   P4/mmm
Energy   -18.52 eV/f.u.

***

The following is a DFT calculation (PBE-GGA) of a relaxed structure of Sm4UC4.

POSCAR file:
```
Sm4UC4
1.0
6.062 -1.832 0.000
6.062 1.832 0.000
-4.464 0.000 7.826
Sm U C
4 1 4
direct
0.107 0.107 0.388
0.295 0.295 0.191
0.705 0.705 0.809
0.893 0.893 0.612
0.500 0.500 0.000
0.087 0.087 0.918
0.315 0.315 0.720
0.685 0.685 0.280
0.913 0.913 0.082
```

Output
Formation enthalpy at 0 K   -0.145 eV/atom
Total magnetization   1.2 μB per cell
Density of states at the Fermi level   4.2 states/eV/cell
SG   C2/m
Energy   -68.36 eV/f.u.

***

The following is a DFT calculation (PBE-GGA) of a relaxed structure of InHg3S4.

POSCAR file:
```
InHg3S4
1.0
6.068 0.000 0.000
0.000 6.068 0.000
0.000 0.000 12.074
In Hg S
2 6 8
direct
0.000 0.000 0.000
0.500 0.500 0.500
0.000 0.000 0.500
0.000 0.500 0.250
0.000 0.500 0.750
0.500 0.000 0.250
0.500 0.000 0.750
0.500 0.500 0.000
0.242 0.242 0.878
0.242 0.758 0.122
0.258 0.258 0.378
0.258 0.742 0.622
0.742 0.258 0.622
0.742 0.742 0.378
0.758 0.242 0.122
0.758 0.758 0.878
```

Output
Total magnetization   0.0 μB per cell
E_form (uncorrected)   -1.57 eV/f.u.
Density of states at the Fermi level   6.2 states/eV/cell
SG   I-42m
ΔE to the lowest computed polymorph   0.00 kJ per mole of atoms
Energy   -21.73 eV/f.u.

***

The following is a DFT calculation (PBE-GGA) of a relaxed structure of In2AgSb.

POSCAR file:
```
In2AgSb
1.0
10.680 0.000 0.000
0.000 3.281 0.000
-1.354 0.000 5.637
In Ag Sb
4 2 2
direct
0.235 0.000 0.231
0.265 0.500 0.769
0.735 0.500 0.231
0.765 0.000 0.769
0.000 0.500 0.000
0.500 0.000 0.000
0.000 0.000 0.500
0.500 0.500 0.500
```

Output
Total magnetization   0.0 μB per cell
E_form (uncorrected)   0.34 eV/f.u.
Density of states at the Fermi level   3.5 states/eV/cell
SG   C2/m
Energy   -12.11 eV/f.u.

***

The following is a DFT calculation (PBE-GGA) of a relaxed structure of Nd2DyNpAs4.

POSCAR file:
```
Nd2DyNpAs4
1.0
7.250 0.000 0.000
0.000 4.185 0.000
-2.399 0.000 6.853
Nd Dy Np As
2 1 1 4
direct
0.000 0.000 0.000
0.500 0.500 0.000
0.000 0.500 0.500
0.500 0.000 0.500
0.249 0.000 0.738
0.256 0.500 0.262
0.744 0.500 0.738
0.751 0.000 0.262
```

Output
Formation enthalpy at 0 K   -1.300 eV/atom
Total magnetization   3.7 μB per cell
Density of states at the Fermi level   12.0 states/eV/cell
SG   P2/m
Energy   -56.08 eV/f.u.

***

The following is a DFT calculation (PBE-GGA) of a relaxed structure of GdSiO3.

POSCAR file:
```
GdSiO3
1.0
3.741 0.000 0.000
0.000 3.741 0.000
0.000 0.000 3.741
Gd Si O
1 1 3
direct
0.000 0.000 0.000
0.500 0.500 0.500
0.000 0.500 0.500
0.500 0.000 0.500
0.500 0.500 0.000
```

Output
Total magnetization   6.8 μB per cell
E_form (uncorrected)   -12.31 eV/f.u.
Density of states at the Fermi level   5.2 states/eV/cell
SG   Pm-3m
Energy   -46.68 eV/f.u.

***

The following is a DFT calculation (PBE-GGA) of a relaxed structure of PRu2W.

POSCAR file:
```
PRu2W
1.0
2.868 0.000 0.000
0.000 4.377 0.000
0.000 0.000 8.742
P Ru W
2 4 2
direct
0.000 0.000 0.000
0.500 0.500 0.500
0.000 0.500 0.284
0.000 0.500 0.716
0.500 0.000 0.216
0.500 0.000 0.784
0.000 0.000 0.500
0.500 0.500 0.000
```

Output
Formation enthalpy at 0 K   -0.214 eV/atom
Total magnetization   0.0 μB per cell
Density of states at the Fermi level   5.3 states/eV/cell
SG   Immm
Energy   -37.77 eV/f.u.